Computed, not measured: a geometry-optimized Al4VO7 structure at the GGA+U level of DFT.

Lattice parameters (Å, degrees): 6.053 7.416 7.416 121.00 90.00 90.00
Positions (direct):
1 O 0.250 0.751 0.209
2 Al 0.750 0.048 0.274
3 O 0.750 0.791 0.249
4 Al 0.000 0.695 0.305
5 O 0.486 0.815 0.580
6 O 0.486 0.580 0.815
7 O 0.514 0.185 0.420
8 O 0.250 0.974 0.974
9 O 0.514 0.420 0.185
10 Al 0.500 0.695 0.305
11 V 0.750 0.733 0.733
12 Al 0.750 0.274 0.048
13 O 0.250 0.209 0.751
14 O 0.014 0.815 0.580
15 Al 0.500 0.305 0.695
16 Al 0.000 0.305 0.695
17 O 0.014 0.580 0.815
18 Al 0.250 0.952 0.726
19 Al 0.250 0.726 0.952
20 O 0.750 0.026 0.026
21 O 0.986 0.185 0.420
22 O 0.750 0.249 0.791
23 O 0.986 0.420 0.185
24 V 0.250 0.267 0.267

Computed properties:
**Calculated volume**: 142.7 Å³/f.u.
**Uncorrected energy**: -7.5005 eV per atom
**Space-group type**: Cmcm (63)